1.
The following is a PBE-GGA calculation of Er6ThSc4 after structural relaxation, from Alexandria via LeMat-Bulk.

It has space group Cmcm (No. 63), with a = 5.464 Å, b = 9.395 Å, c = 24.702 Å, α = 90.00°, β = 90.00° and γ = 90.00°. Symmetry generates all atoms from Er at (0.000, 0.000, 0.000), Er at (0.000, 0.009, 0.250), Er at (0.000, 0.326, 0.596), Er at (0.000, 0.342, 0.179), Th at (0.000, 0.325, 0.750), Sc at (0.000, 0.009, 0.123) and Sc at (0.000, 0.336, 0.042).

The energy relative to the elements is 0.13 eV/atom. As for the polymorph energy (0 for the lowest one): 0 meV per atom. The value obtained for the total energy is -234.671 eV/cell.

---

2.
The following is a PBE-GGA calculation of Er4Th2Sc5 after structural relaxation, from Alexandria via LeMat-Bulk.

It has space group P-1 (No. 2), with a = 3.382 Å, b = 8.381 Å, c = 11.287 Å, α = 83.94°, β = 88.29° and γ = 78.69°. Symmetry generates all atoms from Er at (0.158, 0.199, 0.467), Er at (0.327, 0.740, 0.817), Th at (0.018, 0.359, 0.886), Sc at (0.309, 0.911, 0.271), Sc at (0.492, 0.548, 0.367) and Sc at (0.500, 0.000, 0.000).

The energy relative to the elements is 0.06 eV/atom. The value obtained for the total energy is -64.108 eV/cell.

---

3.
The following is a PBE-GGA calculation of Er4ThSc6 after structural relaxation, from Alexandria via LeMat-Bulk.

It has space group I-42m (No. 121), with a = 7.325 Å, b = 7.325 Å, c = 12.364 Å, α = 90.00°, β = 90.00° and γ = 90.00°. Symmetry generates all atoms from Er at (0.174, 0.174, 0.421), Th at (0.000, 0.000, 0.000), Sc at (0.000, 0.500, 0.000) and Sc at (0.246, 0.246, 0.175).

The energy relative to the elements is 0.53 eV/atom. The value obtained for the total energy is -115.660 eV/cell.